Entry 1:
Below is a relaxed Zn3Au crystal, with properties calculated at the PBE level.

**Space group**: No. 225
**Magnetic moment**: 0.0 μB per cell
**Formation energy**: -63 meV/atom

Geometry as POSCAR:
```
Zn3Au
1.0
-0.824 1.632 4.050
1.106 -2.346 3.608
3.359 1.344 2.579
Au Zn
1 3
Cartesian
0.000 0.000 0.000 Au
0.910 0.158 2.559 Zn
2.731 0.473 7.678 Zn
1.821 0.315 5.119 Zn
```

Entry 2:
Below is a relaxed LaCe2Cu6 crystal, with properties calculated at the PBE level.

**Space group**: No. 191
**Magnetic moment**: 1.5 μB per cell
**Formation energy**: -155 meV/atom

Geometry as POSCAR:
```
LaCe2Cu6
1.0
3.598 0.000 0.000
0.000 6.522 -3.766
0.000 0.000 7.531
Cu La Ce
6 1 2
Cartesian
1.799 4.332 2.501 Cu
1.799 0.000 2.529 Cu
1.799 2.191 -1.265 Cu
1.799 2.191 1.265 Cu
1.799 0.000 5.002 Cu
1.799 4.332 5.030 Cu
0.000 0.000 0.000 La
3.598 4.348 0.000 Ce
0.000 2.174 3.766 Ce
```

Entry 3:
Below is a relaxed Sr2TlNiH crystal, with properties calculated at the PBE level.

**DFT total energy**: -15.76 eV per cell
**Space group**: No. 123
**Magnetic moment**: 0.0 μB per cell

Geometry as POSCAR:
```
Sr2TlNiH
1.0
-3.986 -0.746 3.903
-2.110 -4.287 -2.974
2.199 -2.331 1.800
H Sr Tl Ni
1 2 1 1
Cartesian
0.000 0.000 0.000 H
-1.055 -2.144 -1.487 Sr
-1.993 -0.373 1.951 Sr
-1.949 -3.682 1.365 Tl
1.099 -1.165 0.900 Ni
```

Entry 4:
Below is a relaxed Rb3PbI6 crystal, with properties calculated at the PBE level.

**Relative energy among the computed polymorphs**: 0.0048 eV per atom
**Formation energy (no corrections)**: -1022.9 meV/atom
**Space group**: No. 14
**Magnetic moment**: 0.0 μB per cell

Geometry as POSCAR:
```
Rb3PbI6
1.0
8.909 0.000 0.387
0.000 9.513 0.000
0.675 0.000 12.158
I Rb Pb
12 6 2
Cartesian
6.344 2.256 7.469 I
1.818 0.758 9.348 I
5.935 3.999 3.463 I
7.339 6.496 6.943 I
1.552 2.501 1.196 I
2.245 3.017 5.602 I
8.032 7.013 11.349 I
3.649 5.514 9.082 I
3.240 7.257 5.076 I
7.037 1.739 11.874 I
7.766 8.756 3.197 I
2.547 7.774 0.671 I
5.245 8.839 9.549 Rb
0.453 5.430 3.277 Rb
0.338 0.000 6.079 Rb
4.340 0.674 2.996 Rb
4.455 4.757 0.194 Rb
9.132 4.083 9.269 Rb
4.792 4.757 6.273 Pb
0.000 0.000 0.000 Pb
```

Entry 5:
Below is a relaxed BaZnF2 crystal, with properties calculated at the PBE level.

**Relative energy among the computed polymorphs**: 0.1675 eV per atom
**Formation energy (no corrections)**: -2300.4 meV/atom
**Space group**: No. 122
**Magnetic moment**: 0.0 μB per cell

Geometry as POSCAR:
```
BaZnF2
1.0
-2.736 -4.010 1.732
4.328 -2.765 0.435
1.644 -0.966 8.026
Ba F Zn
2 4 2
Cartesian
0.000 0.000 0.000 Ba
-0.148 -4.182 5.421 Ba
2.819 -6.776 7.936 F
1.637 -3.142 6.813 F
-0.880 -3.272 3.221 F
2.896 -2.292 2.418 F
0.796 -3.387 1.084 Zn
3.384 -3.559 4.773 Zn
```

Entry 6:
Below is a relaxed CaTaTc2 crystal, with properties calculated at the PBE level.

**Relative energy among the computed polymorphs**: 0.2199 eV per atom
**Space group**: No. 6
**Magnetic moment**: 0.0 μB per cell
**Formation energy**: 401 meV/atom

Geometry as POSCAR:
```
CaTaTc2
1.0
-2.077 3.009 -0.548
-2.537 -1.691 0.328
-2.519 -0.384 7.436
Tc Ta Ca
2 1 1
Cartesian
-0.047 -0.013 0.104 Tc
-2.301 0.886 1.112 Tc
-4.810 0.067 6.128 Ta
-2.503 -1.044 3.753 Ca
```

Entry 7:
Below is a relaxed NdTm2O crystal, with properties calculated at the PBE level.

**Relative energy among the computed polymorphs**: 0.0000 eV per atom
**Formation energy (no corrections)**: -1370.3 meV/atom
**Space group**: No. 166
**Magnetic moment**: 0.0 μB per cell

Geometry as POSCAR:
```
NdTm2O
1.0
-1.744 2.523 -1.619
-0.198 0.026 -3.462
-7.954 -3.957 -1.312
O Tm Nd
1 2 1
Cartesian
0.000 0.000 0.000 O
-8.122 -1.517 -4.759 Tm
-1.774 0.109 -1.635 Tm
-4.948 -0.704 -3.197 Nd
```

no.,V (Å³ per cell),D(E_F) (states/eV/f.u.)
1,62,2.5
2,177,14.1
3,116,3.5
4,1028,6.8
5,197,0.0
6,82,4.1
7,91,3.5